## Co3ClO (GGA+U)

Data for a geometry-optimized Co3ClO structure.

Results
Total energy   -4.36 eV/atom
Calculated volume   13.79 Å³ per atom

Structure (CIF):
```
data_Co3ClO
_cell_length_a 4.101
_cell_length_b 4.101
_cell_length_c 4.101
_cell_angle_alpha 90.00
_cell_angle_beta 90.00
_cell_angle_gamma 90.00
_symmetry_space_group_name_H-M 'P m -3 m'
_symmetry_Int_Tables_number 221
_symmetry_space_group_name_Hall '-P 4 2 3'
loop_
_atom_site_label
_atom_site_type_symbol
_atom_site_fract_x
_atom_site_fract_y
_atom_site_fract_z
Co1 Co 0.000 0.000 0.500
Cl1 Cl 0.500 0.500 0.500
O1 O 0.000 0.000 0.000
```